1.
Here is a relaxed AlZnCl2 crystal from Alexandria. Energies are from PBE.

CIF file:
```
data_AlZnCl2
_chemical_formula_sum 'Al1 Zn1 Cl2'
_space_group_name_H-M_alt 'P 1'
_space_group_IT_number 1
_space_group_name_Hall 'P 1'
_cell_length_a 4.1462
_cell_length_b 4.1634
_cell_length_c 5.7851
_cell_angle_alpha 90.00
_cell_angle_beta 90.00
_cell_angle_gamma 90.00
loop_
_atom_site_label
_atom_site_fract_x
_atom_site_fract_y
_atom_site_fract_z
Cl1 0.0000 0.0000 0.8919
Cl2 0.5000 0.5000 0.3461
Al1 0.5000 0.5000 0.8876
Zn1 0.0000 0.0000 0.3744
```

---

2.
Here is a relaxed Mn2FeAgSe crystal from Alexandria. Energies are from PBE.

CIF file:
```
data_Mn2FeAgSe
_chemical_formula_sum 'Mn2 Fe1 Ag1 Se1'
_space_group_name_H-M_alt 'P 1'
_space_group_IT_number 1
_space_group_name_Hall 'P 1'
_cell_length_a 4.8924
_cell_length_b 4.7432
_cell_length_c 4.8924
_cell_angle_alpha 90.00
_cell_angle_beta 90.00
_cell_angle_gamma 90.00
loop_
_atom_site_label
_atom_site_fract_x
_atom_site_fract_y
_atom_site_fract_z
Mn1 0.0000 0.0000 0.5000
Mn2 0.5000 0.0000 0.0000
Ag1 0.0000 0.0000 0.0000
Se1 0.5000 0.5000 0.5000
Fe1 0.0000 0.5000 0.0000
```

---

3.
Here is a relaxed Mn2ZnCo crystal from Alexandria. Energies are from PBE.

CIF file:
```
data_Mn2ZnCo
_chemical_formula_sum 'Mn2 Zn1 Co1'
_space_group_name_H-M_alt 'P 1'
_space_group_IT_number 1
_space_group_name_Hall 'P 1'
_cell_length_a 2.9778
_cell_length_b 2.9778
_cell_length_c 5.6357
_cell_angle_alpha 90.00
_cell_angle_beta 90.00
_cell_angle_gamma 90.00
loop_
_atom_site_label
_atom_site_fract_x
_atom_site_fract_y
_atom_site_fract_z
Mn1 0.0000 0.0000 0.9943
Mn2 0.5000 0.5000 0.2349
Zn1 0.0000 0.0000 0.5142
Co1 0.5000 0.5000 0.7566
```

---

4.
Here is a relaxed NiPdBr3 crystal from Alexandria. Energies are from PBE.

CIF file:
```
data_NiPdBr3
_chemical_formula_sum 'Ni1 Pd1 Br3'
_space_group_name_H-M_alt 'P 1'
_space_group_IT_number 1
_space_group_name_Hall 'P 1'
_cell_length_a 4.8613
_cell_length_b 4.8613
_cell_length_c 4.8613
_cell_angle_alpha 90.00
_cell_angle_beta 90.00
_cell_angle_gamma 90.00
loop_
_atom_site_label
_atom_site_fract_x
_atom_site_fract_y
_atom_site_fract_z
Ni1 0.0000 0.0000 0.0000
Br1 0.0000 0.5000 0.0000
Br2 0.0000 0.0000 0.5000
Br3 0.5000 0.0000 0.0000
Pd1 0.5000 0.5000 0.5000
```

---

5.
Here is a relaxed La2TaZn crystal from Alexandria. Energies are from PBE.

CIF file:
```
data_La2TaZn
_chemical_formula_sum 'La2 Ta1 Zn1'
_space_group_name_H-M_alt 'P 1'
_space_group_IT_number 1
_space_group_name_Hall 'P 1'
_cell_length_a 4.9069
_cell_length_b 3.3917
_cell_length_c 6.5272
_cell_angle_alpha 75.04
_cell_angle_beta 90.00
_cell_angle_gamma 90.00
loop_
_atom_site_label
_atom_site_fract_x
_atom_site_fract_y
_atom_site_fract_z
Ta1 0.0000 0.6849 0.5049
Zn1 0.5000 0.5660 0.7439
La1 0.5000 0.2776 0.3185
La2 0.0000 0.9715 0.9326
```

---

6.
Here is a relaxed CrRu2Rh5 crystal from Alexandria. Energies are from PBE.

CIF file:
```
data_CrRu2Rh5
_chemical_formula_sum 'Cr2 Ru4 Rh10'
_space_group_name_H-M_alt 'P 1'
_space_group_IT_number 1
_space_group_name_Hall 'P 1'
_cell_length_a 6.4933
_cell_length_b 6.4933
_cell_length_c 7.2184
_cell_angle_alpha 116.73
_cell_angle_beta 116.73
_cell_angle_gamma 90.00
loop_
_atom_site_label
_atom_site_fract_x
_atom_site_fract_y
_atom_site_fract_z
Rh1 0.1824 0.9830 0.6653
Rh2 0.6824 0.1824 0.6653
Rh3 0.5170 0.3176 0.3347
Rh4 0.0000 0.0000 0.0000
Rh5 0.8176 0.0170 0.3347
Rh6 0.4830 0.6824 0.6653
Rh7 0.5000 0.5000 0.0000
Rh8 0.0170 0.5170 0.3347
Rh9 0.3176 0.8176 0.3347
Rh10 0.9830 0.4830 0.6653
Ru1 0.1351 0.3649 0.0000
Ru2 0.8649 0.6351 0.0000
Ru3 0.3649 0.8649 0.0000
Ru4 0.6351 0.1351 0.0000
Cr1 0.7500 0.7500 0.5000
Cr2 0.2500 0.2500 0.5000
```

---

7.
Here is a relaxed PaMnOsRu crystal from Alexandria. Energies are from PBE.

CIF file:
```
data_PaMnOsRu
_chemical_formula_sum 'Pa1 Mn1 Os1 Ru1'
_space_group_name_H-M_alt 'P 1'
_space_group_IT_number 1
_space_group_name_Hall 'P 1'
_cell_length_a 4.6197
_cell_length_b 4.6197
_cell_length_c 4.6197
_cell_angle_alpha 60.00
_cell_angle_beta 60.00
_cell_angle_gamma 60.00
loop_
_atom_site_label
_atom_site_fract_x
_atom_site_fract_y
_atom_site_fract_z
Ru1 0.7500 0.7500 0.7500
Os1 0.2500 0.2500 0.2500
Pa1 0.5000 0.5000 0.5000
Mn1 0.0000 0.0000 0.0000
```

---

8.
Here is a relaxed Hf2TcRh crystal from Alexandria. Energies are from PBE.

CIF file:
```
data_Hf2TcRh
_chemical_formula_sum 'Hf4 Tc2 Rh2'
_space_group_name_H-M_alt 'P 1'
_space_group_IT_number 1
_space_group_name_Hall 'P 1'
_cell_length_a 4.2648
_cell_length_b 4.2648
_cell_length_c 9.2249
_cell_angle_alpha 76.63
_cell_angle_beta 76.63
_cell_angle_gamma 90.00
loop_
_atom_site_label
_atom_site_fract_x
_atom_site_fract_y
_atom_site_fract_z
Hf1 0.8750 0.8733 0.7500
Hf2 0.6233 0.1250 0.2500
Hf3 0.1267 0.6250 0.2500
Hf4 0.3750 0.3767 0.7500
Tc1 0.2500 0.7500 0.5000
Tc2 0.5000 0.5000 0.0000
Rh1 0.0000 0.0000 0.0000
Rh2 0.7500 0.2500 0.5000
```

---

9.
Here is a relaxed Li2URuN4 crystal from Alexandria. Energies are from PBE.

CIF file:
```
data_Li2URuN4
_chemical_formula_sum 'Li4 U2 Ru2 N8'
_space_group_name_H-M_alt 'P 1'
_space_group_IT_number 1
_space_group_name_Hall 'P 1'
_cell_length_a 3.2651
_cell_length_b 6.0060
_cell_length_c 9.4170
_cell_angle_alpha 90.00
_cell_angle_beta 90.00
_cell_angle_gamma 105.77
loop_
_atom_site_label
_atom_site_fract_x
_atom_site_fract_y
_atom_site_fract_z
N1 0.0000 0.0000 0.5000
N2 0.3218 0.6437 0.3731
N3 0.3218 0.6437 0.1269
N4 0.4089 0.8178 0.7500
N5 0.6782 0.3563 0.6269
N6 0.5911 0.1822 0.2500
N7 0.6782 0.3563 0.8731
N8 0.0000 0.0000 0.0000
Li1 0.5968 0.1936 0.4593
Li2 0.5968 0.1936 0.0407
Li3 0.4032 0.8064 0.9593
Li4 0.4032 0.8064 0.5407
Ru1 0.8025 0.6050 0.7500
Ru2 0.1975 0.3950 0.2500
U1 0.9346 0.8692 0.2500
U2 0.0654 0.1308 0.7500
```

---

10.
Here is a relaxed Dy6GaCu5 crystal from Alexandria. Energies are from PBE.

CIF file:
```
data_Dy6GaCu5
_chemical_formula_sum 'Dy6 Ga1 Cu5'
_space_group_name_H-M_alt 'P 1'
_space_group_IT_number 1
_space_group_name_Hall 'P 1'
_cell_length_a 4.9228
_cell_length_b 7.0074
_cell_length_c 7.7807
_cell_angle_alpha 90.00
_cell_angle_beta 71.56
_cell_angle_gamma 90.00
loop_
_atom_site_label
_atom_site_fract_x
_atom_site_fract_y
_atom_site_fract_z
Cu1 0.6624 0.0000 0.6753
Cu2 0.3376 0.0000 0.3247
Cu3 0.3329 0.5000 0.3342
Cu4 0.6671 0.5000 0.6658
Cu5 0.0000 0.5000 0.0000
Dy1 0.8313 0.2517 0.3374
Dy2 0.1687 0.7483 0.6626
Dy3 0.8313 0.7483 0.3374
Dy4 0.1687 0.2517 0.6626
Dy5 0.5001 0.7439 0.0000
Dy6 0.4999 0.2561 0.0000
Ga1 0.0000 0.0000 0.0000
```

---

11.
Here is a relaxed Ta2PbS crystal from Alexandria. Energies are from PBE.

CIF file:
```
data_Ta2PbS
_chemical_formula_sum 'Ta4 Pb2 S2'
_space_group_name_H-M_alt 'P 1'
_space_group_IT_number 1
_space_group_name_Hall 'P 1'
_cell_length_a 4.9446
_cell_length_b 4.9446
_cell_length_c 8.6693
_cell_angle_alpha 73.43
_cell_angle_beta 73.43
_cell_angle_gamma 90.00
loop_
_atom_site_label
_atom_site_fract_x
_atom_site_fract_y
_atom_site_fract_z
Pb1 0.7500 0.2500 0.5000
Pb2 0.0000 0.0000 0.0000
S1 0.5000 0.5000 0.0000
S2 0.2500 0.7500 0.5000
Ta1 0.5038 0.1250 0.2500
Ta2 0.2462 0.6250 0.2500
Ta3 0.3750 0.4962 0.7500
Ta4 0.8750 0.7538 0.7500
```

---

12.
Here is a relaxed Re4AgRu crystal from Alexandria. Energies are from PBE.

CIF file:
```
data_Re4AgRu
_chemical_formula_sum 'Re4 Ag1 Ru1'
_space_group_name_H-M_alt 'P 1'
_space_group_IT_number 1
_space_group_name_Hall 'P 1'
_cell_length_a 5.1625
_cell_length_b 5.1625
_cell_length_c 5.1625
_cell_angle_alpha 60.00
_cell_angle_beta 60.00
_cell_angle_gamma 60.00
loop_
_atom_site_label
_atom_site_fract_x
_atom_site_fract_y
_atom_site_fract_z
Re1 0.3743 0.3743 0.3743
Re2 0.3743 0.8771 0.3743
Re3 0.8771 0.3743 0.3743
Re4 0.3743 0.3743 0.8771
Ru1 0.7500 0.7500 0.7500
Ag1 0.0000 0.0000 0.0000
```

---

13.
Here is a relaxed CaFe4Re crystal from Alexandria. Energies are from PBE.

CIF file:
```
data_CaFe4Re
_chemical_formula_sum 'Ca1 Fe4 Re1'
_space_group_name_H-M_alt 'P 1'
_space_group_IT_number 1
_space_group_name_Hall 'P 1'
_cell_length_a 4.8919
_cell_length_b 4.8919
_cell_length_c 4.8919
_cell_angle_alpha 60.00
_cell_angle_beta 60.00
_cell_angle_gamma 60.00
loop_
_atom_site_label
_atom_site_fract_x
_atom_site_fract_y
_atom_site_fract_z
Fe1 0.3764 0.3764 0.3764
Fe2 0.8709 0.3764 0.3764
Fe3 0.3764 0.8709 0.3764
Fe4 0.3764 0.3764 0.8709
Re1 0.7500 0.7500 0.7500
Ca1 0.0000 0.0000 0.0000
```

---

It is found that the DFT total energy values, taken in the order of the records, are -2.402, -5.488, -6.660, -2.908, -5.535, -7.817, -9.867, -9.065, -7.442, -4.567, -7.283, -9.717, -7.686 eV/atom.